Crystalline TlTcSeN2 at its relaxed geometry. Source: the Alexandria database, functional GGA-PBEsol.

Cell lengths 3.8794, 3.8794, 5.2899 Å; angles 90.00, 90.00, 90.00 degrees
Closest atoms and distances in Å follow each position.
Fractional coordinates of all 5 atoms:
1 Tl 0.5000 0.5000 0.5000  4 Se 2.74
2 Tc 0.0000 0.0000 0.0000  4 N 1.94
3 Se 0.0000 0.0000 0.5000  2 Tc 2.64, 4 Tl 2.74
4 N 0.0000 0.5000 0.0000  2 Tc 1.94
5 N 0.5000 0.0000 0.0000  2 Tc 1.94

Properties
electronic total energy	-6.595	eV/atom
calculated volume	15.92	Å³/atom

Crystalline RhSeCl at its relaxed geometry. Source: the Alexandria database, functional GGA-PBEsol.

Cell lengths 3.4360, 3.4360, 5.3386 Å; angles 108.77, 108.77, 90.00 degrees
Closest atoms and distances in Å follow each position.
Fractional coordinates of all 3 atoms:
1 Rh 0.2720 0.2720 0.5440  1 Cl 2.38, 4 Se 2.51
2 Se 0.7063 0.7063 0.4127  4 Rh 2.51
3 Cl 0.0216 0.0216 0.0433  1 Rh 2.38

Properties
electronic total energy	-4.593	eV/atom
calculated volume	18.71	Å³/atom

Crystalline HfZrInW2 at its relaxed geometry. Source: the Alexandria database, functional GGA-PBEsol.

Cell lengths 4.7654, 4.7654, 5.0158 Å; angles 90.00, 90.00, 90.00 degrees
Closest atoms and distances in Å follow each position.
Fractional coordinates of all 5 atoms:
1 Hf 0.0000 0.0000 0.0000  4 W 2.38, 2 Zr 2.51
2 Zr 0.0000 0.0000 0.5000  2 Hf 2.51
3 W 0.0000 0.5000 0.0000  2 Hf 2.38
4 W 0.5000 0.0000 0.0000  2 Hf 2.38
5 In 0.5000 0.5000 0.5000  4 Zr 3.37, 8 W 3.46

Properties
electronic total energy	-8.200	eV/atom
calculated volume	22.78	Å³/atom
formation energy	1.838	eV/atom

Crystalline BaMg2NbPd at its relaxed geometry. Source: the Alexandria database, functional GGA-PBEsol.

Cell lengths 5.0568, 5.4683, 5.4683 Å; angles 90.00, 90.00, 90.00 degrees
Closest atoms and distances in Å follow each position.
Fractional coordinates of all 5 atoms:
1 Mg 0.0000 0.0000 0.5000  2 Ba 2.73
2 Mg 0.0000 0.5000 0.0000  2 Ba 2.73
3 Nb 0.5000 0.0000 0.0000  2 Ba 2.53
4 Ba 0.0000 0.0000 0.0000  2 Nb 2.53, 4 Mg 2.73
5 Pd 0.5000 0.5000 0.5000  8 Mg 3.72, 4 Nb 3.87

Properties
electronic total energy	-2.439	eV/atom
calculated volume	30.24	Å³/atom
formation energy	2.033	eV/atom

Crystalline BeRuSe2 at its relaxed geometry. Source: the Alexandria database, functional GGA-PBEsol.

Cell lengths 3.2133, 4.5388, 4.5469 Å; angles 108.54, 90.00, 90.00 degrees
Closest atoms and distances in Å follow each position.
Fractional coordinates of all 4 atoms:
1 Ru 0.5000 0.5000 0.0000  4 Se 2.45, 2 Be 2.65
2 Se 0.0000 0.2500 0.2503  2 Be 2.44, 2 Ru 2.45, 2 Se 2.65
3 Se 0.0000 0.7500 0.7497  2 Be 2.44, 2 Ru 2.45, 2 Se 2.65
4 Be 0.5000 0.0000 0.5000  4 Se 2.44, 2 Ru 2.65

Properties
electronic total energy	-5.179	eV/atom
calculated volume	15.72	Å³/atom

Crystalline Ca2AgSe at its relaxed geometry. Source: the Alexandria database, functional GGA-PBEsol.

Cell lengths 4.1586, 4.1586, 7.4854 Å; angles 73.87, 73.87, 60.00 degrees
Closest atoms and distances in Å follow each position.
Fractional coordinates of all 4 atoms:
1 Ca 0.7463 0.7463 0.7612  3 Se 2.94, 3 Ag 3.03
2 Ca 0.2537 0.2537 0.2388  3 Se 2.94, 3 Ag 3.03
3 Ag 0.5000 0.5000 0.5000  6 Ca 3.03
4 Se 0.0000 0.0000 0.0000  6 Ca 2.94

Properties
electronic total energy	-3.834	eV/atom
distance to the lowest polymorph of the same formula	0	meV per atom
calculated volume	26.55	Å³/atom